Below is a relaxed Nd6RuSe5 crystal, with properties calculated at the GGA-PBE level. Values from VASP.

Results
total moment = 0.000 μB per formula unit
electronic total energy = -73.99 eV per formula unit
crystal system = monoclinic

Cell and atoms, written as Quantum ESPRESSO input:
```
&SYSTEM
  ibrav = 0, nat = 12, ntyp = 3
/
ATOMIC_SPECIES
Ru 101.07 Ru.upf
Nd 144.24 Nd.upf
Se 78.96 Se.upf
ATOMIC_POSITIONS crystal
Ru 0.000 0.000 0.000
Nd 0.763 0.079 0.314
Nd 0.237 0.607 0.314
Nd 0.239 0.233 0.000
Nd 0.761 0.767 0.000
Nd 0.763 0.393 0.686
Nd 0.237 0.921 0.686
Se 0.500 0.174 0.652
Se 0.000 0.334 0.331
Se 0.500 0.500 0.000
Se 0.000 0.666 0.669
Se 0.500 0.826 0.348
CELL_PARAMETERS angstrom
7.257 0.177 1.103
1.780 6.196 3.610
0.118 0.075 7.373
```